Entry 1:
This record from Alexandria describes ZnCu2O4 after structural relaxation. The functional is GGA-PBEsol.

## Properties
E_form (uncorrected) = -65.4 kJ per mole of atoms
Distance to the lowest polymorph of the same formula = 43 meV/atom
M_tot = 0.0 μB/cell
D(E_F) = 4.78 states/eV/f.u.
DFT total energy = -0.18895 Ha/atom

a b c (Å): 5.8410 5.8410 14.3070
angles (deg): 90.00 90.00 120.00
With the nearest neighbours (Å) after each atom.
Space group R3m (No. 160, hexagonal axes)
Symmetry-distinct sites (fractional):
Zn: 0.0000 0.0000 0.0000 x3  6 O 2.05-2.08
Zn: 0.0000 0.0000 0.3839 x3  4 O 1.93-1.94
Cu: 0.0000 0.0000 0.6216 x3  4 O 1.85-1.94
Cu: 0.9998 0.4999 0.5008 x9  6 O 1.92-2.07
O: 0.0000 0.0000 0.2487 x3  1 Zn 1.93, 3 Cu 2.05
O: 0.0000 0.0000 0.7507 x3  4 Cu 1.85-2.07
O: 0.0296 0.5148 0.7614 x9  2 Cu 1.92, 2 Zn 1.94-2.05
O: 0.1783 0.3565 0.5717 x9  3 Cu 1.92-1.94, 1 Zn 2.08



Entry 2:
This record from Alexandria describes ZnCu2O4 after structural relaxation. The functional is GGA-PBEsol.

## Properties
E_form (uncorrected) = -66.2 kJ per mole of atoms
Distance to the lowest polymorph of the same formula = 34 meV/atom
M_tot = 8.0 μB/cell
D(E_F) = 4.00 states/eV/f.u.
DFT total energy = -0.18926 Ha/atom

a b c (Å): 5.8488 5.8488 14.2952
angles (deg): 90.00 90.00 120.00
With the nearest neighbours (Å) after each atom.
Space group P3m1 (No. 156)
Symmetry-distinct sites (fractional):
Zn: 0.0000 0.0000 0.0000 x1  4 O 1.94-1.97
Zn: 0.0000 0.0000 0.2437 x1  4 O 1.96
Zn: 0.3333 0.6667 0.3311 x1  4 O 1.93-1.95
Zn: 0.3333 0.6667 0.5796 x1  4 O 1.95
Zn: 0.3333 0.6667 0.9542 x1  6 O 2.05-2.07
Zn: 0.6667 0.3333 0.6656 x1  4 O 1.95-1.96
Cu: 0.0000 0.0000 0.6194 x1  6 O 1.97-1.98
Cu: 0.1665 0.3330 0.7881 x3  6 O 1.96-1.99
Cu: 0.3337 0.1668 0.4546 x3  6 O 1.98-1.99
Cu: 0.5005 0.0009 0.1212 x3  6 O 1.95-2.03
Cu: 0.6667 0.3333 0.2885 x1  6 O 1.97-1.99
Cu: 0.6667 0.3333 0.9114 x1  4 O 1.87-1.91
O: 0.0000 0.0000 0.3811 x1  1 Zn 1.96, 3 Cu 1.99
O: 0.0000 0.0000 0.8622 x1  1 Zn 1.97, 3 Cu 1.99
O: 0.0176 0.5088 0.8627 x3  3 Cu 1.91-1.96, 1 Zn 2.07
O: 0.1522 0.3044 0.5341 x3  1 Zn 1.95, 3 Cu 1.97-1.98
O: 0.1792 0.3584 0.0471 x3  2 Zn 1.94-2.05, 2 Cu 1.95
O: 0.2998 0.1499 0.7079 x3  1 Zn 1.95, 3 Cu 1.98
O: 0.3333 0.6667 0.1958 x1  1 Zn 1.93, 3 Cu 2.00
O: 0.3333 0.6667 0.7162 x1  1 Zn 1.95, 3 Cu 1.98
O: 0.3663 0.1832 0.1989 x3  3 Cu 1.95-1.99, 1 Zn 1.96
O: 0.5150 0.0300 0.3752 x3  1 Zn 1.95, 3 Cu 1.97-1.98
O: 0.6667 0.3333 0.0422 x1  4 Cu 1.87-2.03
O: 0.6667 0.3333 0.5282 x1  1 Zn 1.96, 3 Cu 1.99



Entry 3:
This record from Alexandria describes CuOs after structural relaxation. The functional is GGA-PBEsol.

## Properties
Distance to the lowest polymorph of the same formula = 1075 meV/atom
M_tot = 0.0 μB/cell
Energy of formation = 1.301 eV/atom
D(E_F) = 2.36 states/eV/f.u.
DFT total energy = -0.25627 Ha/atom

a b c (Å): 3.8383 3.8383 4.8308
angles (deg): 90.00 90.00 120.00
With the nearest neighbours (Å) after each atom.
Space group P6_3/mmc (No. 194)
Symmetry-distinct sites (fractional):
Cu: 0.3333 0.6667 0.2500 x2  6 Os 2.52
Os: 0.0000 0.0000 0.0000 x2  2 Os 2.42, 6 Cu 2.52



Please write out number 1 again, unchanged.
This record from Alexandria describes ZnCu2O4 after structural relaxation. The functional is GGA-PBEsol.

## Properties
E_form (uncorrected) = -65.4 kJ per mole of atoms
Distance to the lowest polymorph of the same formula = 43 meV/atom
M_tot = 0.0 μB/cell
D(E_F) = 4.78 states/eV/f.u.
DFT total energy = -0.18895 Ha/atom

a b c (Å): 5.8410 5.8410 14.3070
angles (deg): 90.00 90.00 120.00
With the nearest neighbours (Å) after each atom.
Space group R3m (No. 160, hexagonal axes)
Symmetry-distinct sites (fractional):
Zn: 0.0000 0.0000 0.0000 x3  6 O 2.05-2.08
Zn: 0.0000 0.0000 0.3839 x3  4 O 1.93-1.94
Cu: 0.0000 0.0000 0.6216 x3  4 O 1.85-1.94
Cu: 0.9998 0.4999 0.5008 x9  6 O 1.92-2.07
O: 0.0000 0.0000 0.2487 x3  1 Zn 1.93, 3 Cu 2.05
O: 0.0000 0.0000 0.7507 x3  4 Cu 1.85-2.07
O: 0.0296 0.5148 0.7614 x9  2 Cu 1.92, 2 Zn 1.94-2.05
O: 0.1783 0.3565 0.5717 x9  3 Cu 1.92-1.94, 1 Zn 2.08



Look up the M_tot of the third one. 0.0 μB/cell